No. 1
Ce9Tl3Zn2 | PBE | relaxed

Cell lengths 4.918, 8.856, 8.856 Å; angles 90.78, 73.88, 73.88 degrees
Last column: magnetic moment on the atom in μB.
Fractional positions:
1 Ce 0.336 0.028 0.300  0.47
2 Ce 0.880 0.371 0.869  0.34
3 Tl 0.302 0.698 0.698  0.00
4 Ce 0.120 0.629 0.131  0.34
5 Tl 0.698 0.302 0.302  0.00
6 Ce 0.120 0.131 0.629  0.34
7 Ce 0.336 0.300 0.028  0.47
8 Ce 0.880 0.869 0.371  0.34
9 Ce 0.000 0.500 0.500  0.62
10 Ce 0.664 0.972 0.700  0.47
11 Ce 0.664 0.700 0.972  0.47
12 Zn 0.500 0.345 0.655  0.00
13 Zn 0.500 0.655 0.345  0.00
14 Tl 0.000 0.000 0.000  -0.01

Output
uncorrected energy = -4.4817 eV per atom
total magnetic moment = 0.327 μB/atom

---

No. 2
AcHoCu | PBE | relaxed

Cell lengths 3.676, 3.676, 6.869 Å; angles 105.52, 105.52, 90.00 degrees
Fractional positions:
1 Ho 0.294 0.294 0.588
2 Ac 0.018 0.018 0.036
3 Cu 0.688 0.688 0.375

Output
uncorrected energy = -4.3212 eV per atom
total magnetic moment = 0.000 μB/atom
energy relative to the lowest polymorph listed for this composition = 0.0000 eV/atom

---

No. 3
Ho5Ga4 | PBE | relaxed

Cell lengths 4.417, 5.852, 9.570 Å; angles 76.26, 76.66, 67.83 degrees
Fractional positions:
1 Ga 0.550 0.734 0.166
2 Ga 0.382 0.627 0.610
3 Ho 0.244 0.338 0.175
4 Ho 0.102 0.188 0.609
5 Ho 0.000 0.000 0.000
6 Ho 0.898 0.812 0.391
7 Ho 0.756 0.662 0.825
8 Ga 0.618 0.373 0.390
9 Ga 0.450 0.266 0.834

Output
uncorrected energy = -4.4520 eV per atom
total magnetic moment = 0.000 μB/atom

---

No. 4
DyTl2GeS4 | PBE | relaxed

Cell lengths 3.877, 7.791, 6.872 Å; angles 73.28, 90.00, 90.00 degrees
Fractional positions:
1 Tl 0.500 0.000 0.500
2 Dy 0.000 0.500 0.500
3 Ge 0.500 0.500 0.000
4 S 0.000 0.691 0.780
5 Tl 0.000 0.000 0.000
6 S 0.500 0.306 0.745
7 S 0.000 0.309 0.220
8 S 0.500 0.694 0.255

Output
uncorrected energy = -4.6263 eV per atom
total magnetic moment = 0.000 μB/atom
formation energy (no corrections) = -0.8186 eV per atom